# 1
Tb2Er4Mg | PBE | relaxed

Cell and atoms, written as CIF:
```
data_Tb2Er4Mg
_chemical_formula_sum 'Tb4 Er8 Mg2'
_space_group_name_H-M_alt 'P 1 21/m 1'
_space_group_IT_number 11
_cell_length_a 5.972
_cell_length_b 6.476
_cell_length_c 11.361
_cell_angle_alpha 90.00
_cell_angle_beta 105.15
_cell_angle_gamma 90.00
loop_
_space_group_symop_operation_xyz
'x,y,z'
'-x,-y,-z'
'-x,y+1/2,-z'
'x,-y+1/2,z'
loop_
_atom_site_label
_atom_site_type_symbol
_atom_site_fract_x
_atom_site_fract_y
_atom_site_fract_z
_atom_site_occupancy
Tb1 Tb 0.106 0.250 0.004 1
Tb2 Tb 0.220 0.250 0.576 1
Er1 Er 0.145 0.502 0.288 1
Er2 Er 0.353 0.750 0.560 1
Er3 Er 0.472 0.750 0.126 1
Mg1 Mg 0.343 0.750 0.834 1
```

Summary:
Size of the total moment, μB per formula unit: 0.00
Excess energy over the best structure of this formula in the dataset, meV/atom: 0
Density of states at the Fermi level, states/eV/atom: 1.375

***

# 2
HfZr5Rh | PBE | relaxed

Cell and atoms, written as CIF:
```
data_HfZr5Rh
_chemical_formula_sum 'Hf4 Zr20 Rh4'
_space_group_name_H-M_alt 'C 1 2/c 1'
_space_group_IT_number 15
_cell_length_a 7.962
_cell_length_b 7.379
_cell_length_c 10.742
_cell_angle_alpha 90.00
_cell_angle_beta 103.31
_cell_angle_gamma 90.00
loop_
_space_group_symop_operation_xyz
'x,y,z'
'-x,-y,-z'
'-x,y,-z+1/2'
'x,-y,z+1/2'
'x+1/2,y+1/2,z'
'-x+1/2,-y+1/2,-z'
'-x+1/2,y+1/2,-z+1/2'
'x+1/2,-y+1/2,z+1/2'
loop_
_atom_site_label
_atom_site_type_symbol
_atom_site_fract_x
_atom_site_fract_y
_atom_site_fract_z
_atom_site_occupancy
Hf1 Hf 0.000 0.136 0.250 1
Zr1 Zr 0.000 0.467 0.750 1
Zr2 Zr 0.142 0.140 0.566 1
Zr3 Zr 0.225 0.170 0.872 1
Rh1 Rh 0.000 0.500 0.000 1
```

Summary:
Size of the total moment, μB per formula unit: 0.00
E, eV/atom: -8.69
Density of states at the Fermi level, states/eV/atom: 1.090

***

# 3
SmFeC | PBE | relaxed

Cell and atoms, written as CIF:
```
data_SmFeC
_chemical_formula_sum 'Sm1 Fe1 C1'
_space_group_name_H-M_alt 'P -6 m 2'
_space_group_IT_number 187
_space_group_name_Hall 'P -6 2'
_cell_length_a 3.4071
_cell_length_b 3.4071
_cell_length_c 4.2490
_cell_angle_alpha 90.00
_cell_angle_beta 90.00
_cell_angle_gamma 120.00
loop_
_atom_site_label
_atom_site_type_symbol
_atom_site_fract_x
_atom_site_fract_y
_atom_site_fract_z
_atom_site_occupancy
Sm1 Sm 0.0000 0.0000 0.0000 1
Fe1 Fe 0.6667 0.3333 0.5000 1
C1 C 0.3333 0.6667 0.5000 1
```

Summary:
Size of the total moment, μB per formula unit: 0.17
Excess energy over the best structure of this formula in the dataset, meV/atom: 285
Density of states at the Fermi level, states/eV/atom: 1.018

***

# 4
PmDyTmPa | PBE | relaxed

Cell and atoms, written as CIF:
```
data_PmDyTmPa
_chemical_formula_sum 'Pm4 Dy4 Tm4 Pa4'
_space_group_name_H-M_alt 'F -4 3 m'
_space_group_IT_number 216
_space_group_name_Hall 'F -4 2 3'
_cell_length_a 7.891
_cell_length_b 7.891
_cell_length_c 7.891
_cell_angle_alpha 90.00
_cell_angle_beta 90.00
_cell_angle_gamma 90.00
loop_
_atom_site_label
_atom_site_type_symbol
_atom_site_fract_x
_atom_site_fract_y
_atom_site_fract_z
_atom_site_occupancy
Pm1 Pm 0.000 0.000 0.000 1
Dy1 Dy 0.000 0.000 0.500 1
Tm1 Tm 0.250 0.250 0.750 1
Pa1 Pa 0.250 0.250 0.250 1
```

Summary:
Size of the total moment, μB per formula unit: 3.54
E, eV/atom: -5.45
Density of states at the Fermi level, states/eV/atom: 2.139

***

# 5
Pa2BiPt | PBE | relaxed

Cell and atoms, written as CIF:
```
data_Pa2BiPt
_chemical_formula_sum 'Pa6 Bi3 Pt3'
_space_group_name_H-M_alt 'R -3 m'
_space_group_IT_number 166
_space_group_name_Hall '-R 3 2"'
_cell_length_a 3.2358
_cell_length_b 3.2358
_cell_length_c 33.3303
_cell_angle_alpha 90.00
_cell_angle_beta 90.00
_cell_angle_gamma 120.00
loop_
_atom_site_label
_atom_site_type_symbol
_atom_site_fract_x
_atom_site_fract_y
_atom_site_fract_z
_atom_site_occupancy
Pa1 Pa 0.0000 0.0000 0.0806 1
Bi1 Bi 0.0000 0.0000 0.5000 1
Pt1 Pt 0.0000 0.0000 0.0000 1
```

Summary:
Size of the total moment, μB per formula unit: 0.98
Excess energy over the best structure of this formula in the dataset, meV/atom: 592
Density of states at the Fermi level, states/eV/atom: 1.861

***

# 6
BeAg2W | PBE | relaxed

Cell and atoms, written as CIF:
```
data_BeAg2W
_chemical_formula_sum 'Be1 Ag2 W1'
_space_group_name_H-M_alt 'P 4/m m m'
_space_group_IT_number 123
_space_group_name_Hall '-P 4 2'
_cell_length_a 2.796
_cell_length_b 2.796
_cell_length_c 7.487
_cell_angle_alpha 90.00
_cell_angle_beta 90.00
_cell_angle_gamma 90.00
loop_
_atom_site_label
_atom_site_type_symbol
_atom_site_fract_x
_atom_site_fract_y
_atom_site_fract_z
_atom_site_occupancy
Be1 Be 0.000 0.000 0.000 1
Ag1 Ag 0.500 0.500 0.208 1
W1 W 0.000 0.000 0.500 1
```

Summary:
Size of the total moment, μB per formula unit: 0.00
E, eV/atom: -5.14
Density of states at the Fermi level, states/eV/atom: 0.601

***

# 7
KTiAsBr2 | PBE | relaxed

Cell and atoms, written as CIF:
```
data_KTiAsBr2
_chemical_formula_sum 'K1 Ti1 As1 Br2'
_space_group_name_H-M_alt 'P 4/m m m'
_space_group_IT_number 123
_space_group_name_Hall '-P 4 2'
_cell_length_a 6.066
_cell_length_b 6.066
_cell_length_c 4.855
_cell_angle_alpha 90.00
_cell_angle_beta 90.00
_cell_angle_gamma 90.00
loop_
_atom_site_label
_atom_site_type_symbol
_atom_site_fract_x
_atom_site_fract_y
_atom_site_fract_z
_atom_site_occupancy
K1 K 0.000 0.000 0.000 1
Ti1 Ti 0.500 0.500 0.000 1
As1 As 0.500 0.500 0.500 1
Br1 Br 0.000 0.500 0.500 1
```

Summary:
Raw formation energy, eV/f.u.: -1.0
Size of the total moment, μB per formula unit: 2.02
Excess energy over the best structure of this formula in the dataset, meV/atom: 644
Density of states at the Fermi level, states/eV/atom: 0.338

***

# 8
YCrAg | PBE | relaxed

Cell and atoms, written as CIF:
```
data_YCrAg
_chemical_formula_sum 'Y2 Cr2 Ag2'
_space_group_name_H-M_alt 'I 4 m m'
_space_group_IT_number 107
_space_group_name_Hall 'I 4 -2'
_cell_length_a 3.647
_cell_length_b 3.647
_cell_length_c 9.774
_cell_angle_alpha 90.00
_cell_angle_beta 90.00
_cell_angle_gamma 90.00
loop_
_atom_site_label
_atom_site_type_symbol
_atom_site_fract_x
_atom_site_fract_y
_atom_site_fract_z
_atom_site_occupancy
Y1 Y 0.000 0.000 0.000 1
Cr1 Cr 0.000 0.000 0.324 1
Ag1 Ag 0.000 0.000 0.681 1
```

Summary:
Size of the total moment, μB per formula unit: 4.17
Excess energy over the best structure of this formula in the dataset, meV/atom: 0
Density of states at the Fermi level, states/eV/atom: 1.114

***

# 9
Y2AgAu | PBE | relaxed

Cell and atoms, written as CIF:
```
data_Y2AgAu
_chemical_formula_sum 'Y2 Ag1 Au1'
_space_group_name_H-M_alt 'P m m m'
_space_group_IT_number 47
_cell_length_a 3.596
_cell_length_b 3.642
_cell_length_c 7.273
_cell_angle_alpha 90.00
_cell_angle_beta 90.00
_cell_angle_gamma 90.00
loop_
_space_group_symop_operation_xyz
'x,y,z'
'-x,-y,-z'
'-x,-y,z'
'x,y,-z'
'x,-y,-z'
'-x,y,z'
'-x,y,-z'
'x,-y,z'
loop_
_atom_site_label
_atom_site_type_symbol
_atom_site_fract_x
_atom_site_fract_y
_atom_site_fract_z
_atom_site_occupancy
Y1 Y 0.000 0.000 0.245 1
Ag1 Ag 0.500 0.500 0.500 1
Au1 Au 0.500 0.500 0.000 1
```

Summary:
Size of the total moment, μB per formula unit: 0.00
E, eV/atom: -5.37
Density of states at the Fermi level, states/eV/atom: 0.376

***

# 10
Rb2BCl7 | PBE | relaxed

Cell and atoms, written as CIF:
```
data_Rb2BCl7
_chemical_formula_sum 'Rb4 B2 Cl14'
_space_group_name_H-M_alt 'I 4/m m m'
_space_group_IT_number 139
_space_group_name_Hall '-I 4 2'
_cell_length_a 7.451
_cell_length_b 7.451
_cell_length_c 10.722
_cell_angle_alpha 90.00
_cell_angle_beta 90.00
_cell_angle_gamma 90.00
loop_
_atom_site_label
_atom_site_type_symbol
_atom_site_fract_x
_atom_site_fract_y
_atom_site_fract_z
_atom_site_occupancy
Rb1 Rb 0.000 0.500 0.250 1
B1 B 0.000 0.000 0.000 1
Cl1 Cl 0.000 0.000 0.286 1
Cl2 Cl 0.000 0.000 0.500 1
Cl3 Cl 0.188 0.188 0.000 1
```

Summary:
Raw formation energy, eV/f.u.: -8.7
Size of the total moment, μB per formula unit: 0.00
Density of states at the Fermi level, states/eV/atom: 0.000